1.
The following is a DFT calculation (PBE) of crystalline NaCa2Tl2Pb2 at its relaxed geometry.

It has space group R-3m (No. 166, hexagonal axes), with a = 5.3572 Å, b = 5.3572 Å, c = 26.6699 Å, α = 90.00°, β = 90.00° and γ = 120.00°. Symmetry generates all atoms from Na at (0.0000, 0.0000, 0.0000), Ca at (0.0000, 0.0000, 0.1333), Tl at (0.0000, 0.0000, 0.4346) and Pb at (0.0000, 0.0000, 0.2713).

The energy of formation from the pure elements is -0.189 eV per atom.

2.
The following is a DFT calculation (PBE) of crystalline NaCaTmPb at its relaxed geometry.

It has space group F-43m (No. 216), with a = 7.759 Å, b = 7.759 Å, c = 7.759 Å, α = 90.00°, β = 90.00° and γ = 90.00°. Symmetry generates all atoms from Na at (0.000, 0.000, 0.000), Ca at (0.250, 0.250, 0.250), Tm at (0.250, 0.250, 0.750) and Pb at (0.000, 0.000, 0.500).

The energy of formation from the pure elements is -0.166 eV per atom.

- Which formula does entry 2 have?
  NaCaTmPb

- Look up the energy of formation from the pure elements of the second one.
  -0.166 eV per atom